Model w:
Here is crystalline CaBe2Os at its relaxed geometry from Alexandria via LeMat-Bulk. Energies are from PBE-GGA.

```
4
Lattice="-1.157 1.136 -3.506 -0.814 -2.629 -2.710 -5.583 -0.614 -0.491" Properties=species:S:1:pos:R:3 pbc="T T T"
Ca -3.789 -1.053 -3.347
Be -5.448 -0.611 -0.536
Be -6.659 -1.604 -4.713
Os -1.017 -0.506 -1.957
```

Calculated values
The density of states at the Fermi level is 0.82 states/eV/f.u.

---

Model x:
Here is crystalline CaBe2Os at its relaxed geometry from Alexandria via LeMat-Bulk. Energies are from PBE-GGA.

```
4
Lattice="4.365 0.000 0.000 2.183 3.780 0.000 2.183 1.260 3.564" Properties=species:S:1:pos:R:3 pbc="T T T"
Be 2.183 1.260 0.891
Be 0.000 0.000 0.000
Os 6.548 3.780 2.673
Ca 4.365 2.520 1.782
```

Calculated values
The density of states at the Fermi level is 1.12 states/eV/f.u.

---

Which structure loses on stability? model x does.

---

Model w:
Here is crystalline CaBe2Os at its relaxed geometry from Alexandria via LeMat-Bulk. Energies are from PBE-GGA.

```
4
Lattice="-1.795 1.714 -1.927 -1.147 -2.633 -1.274 -4.763 -0.051 4.391" Properties=species:S:1:pos:R:3 pbc="T T T"
Ca -2.468 -0.026 2.275
Be -4.558 -0.049 4.202
Be -2.301 -0.469 -0.835
Os -5.522 -0.503 2.135
```

Calculated values
The density of states at the Fermi level is 1.32 states/eV/f.u.

---

Model x:
Here is crystalline CaBe2Os at its relaxed geometry from Alexandria via LeMat-Bulk. Energies are from PBE-GGA.

```
4
Lattice="5.316 0.014 0.008 2.580 4.648 -0.008 -3.255 -3.505 2.320" Properties=species:S:1:pos:R:3 pbc="T T T"
Os 1.303 1.541 1.156
Be 7.878 4.652 0.000
Be 3.335 -0.384 1.164
Ca 3.969 2.343 0.000
```

Calculated values
The density of states at the Fermi level is 1.76 states/eV/f.u.

---

Which structure loses on stability? model x does.

---

Model w:
Here is crystalline CaBeP3 at its relaxed geometry from Alexandria via LeMat-Bulk. Energies are from PBE-GGA.

```
5
Lattice="-0.513 4.975 -1.137 0.322 -1.109 -4.997 -5.093 -0.571 -0.201" Properties=species:S:1:pos:R:3 pbc="T T T"
P -0.256 2.488 -0.569
P 0.161 -0.555 -2.499
P -2.547 -0.285 -0.101
Ca 0.000 0.000 0.000
Be -2.642 1.647 -3.168
```

Calculated values
The density of states at the Fermi level is 4.74 states/eV/f.u.

---

Model x:
Here is crystalline CaBeP3 at its relaxed geometry from Alexandria via LeMat-Bulk. Energies are from PBE-GGA.

```
5
Lattice="4.439 0.000 0.000 0.000 4.439 0.000 0.000 0.000 4.439" Properties=species:S:1:pos:R:3 pbc="T T T"
P 0.000 0.000 2.219
P 2.219 0.000 0.000
P 0.000 2.219 0.000
Ca 2.219 2.219 2.219
Be 0.000 0.000 0.000
```

Calculated values
The density of states at the Fermi level is 2.95 states/eV/f.u.

---

Which structure loses on stability? model w does.

---

Model w:
Here is crystalline Ca2BePb at its relaxed geometry from Alexandria via LeMat-Bulk. Energies are from PBE-GGA.

```
4
Lattice="3.596 0.000 0.000 0.000 3.596 0.000 0.000 0.000 8.724" Properties=species:S:1:pos:R:3 pbc="T T T"
Ca 1.798 1.798 2.546
Ca 0.000 0.000 8.135
Be 1.798 1.798 6.252
Pb 0.000 0.000 4.877
```

Calculated values
The density of states at the Fermi level is 3.19 states/eV/f.u.

---

Model x:
Here is crystalline Ca2BePb at its relaxed geometry from Alexandria via LeMat-Bulk. Energies are from PBE-GGA.

```
4
Lattice="3.744 0.000 0.000 0.000 4.729 0.000 0.000 0.000 6.505" Properties=species:S:1:pos:R:3 pbc="T T T"
Pb 0.000 0.000 3.129
Ca 1.872 2.365 1.916
Ca 0.000 0.000 6.170
Be 1.872 2.365 5.046
```

Calculated values
The density of states at the Fermi level is 2.81 states/eV/f.u.

---

Model y:
Here is crystalline Ca2BePb at its relaxed geometry from Alexandria via LeMat-Bulk. Energies are from PBE-GGA.

```
4
Lattice="5.343 0.000 0.000 2.671 4.627 0.000 2.671 1.542 4.362" Properties=species:S:1:pos:R:3 pbc="T T T"
Ca 0.000 0.000 0.000
Ca 2.671 1.542 1.091
Be 5.343 3.085 2.181
Pb 8.014 4.627 3.272
```

Calculated values
The density of states at the Fermi level is 4.17 states/eV/f.u.

---

Model z:
Here is crystalline Ca2BePb at its relaxed geometry from Alexandria via LeMat-Bulk. Energies are from PBE-GGA.

```
4
Lattice="0.000 3.749 3.749 3.749 0.000 3.749 3.749 3.749 0.000" Properties=species:S:1:pos:R:3 pbc="T T T"
Ca 5.623 5.623 5.623
Ca 1.874 1.874 1.874
Pb 3.749 3.749 3.749
Be 0.000 0.000 0.000
```

Calculated values
The density of states at the Fermi level is 0.55 states/eV/f.u.

---

Which structure loses on stability? model y does.

---

Model w:
Here is crystalline CaBe3Pb at its relaxed geometry from Alexandria via LeMat-Bulk. Energies are from PBE-GGA.

```
5
Lattice="-4.864 -0.659 -1.383 0.121 -4.754 1.840 -1.528 1.722 4.550" Properties=species:S:1:pos:R:3 pbc="T T T"
Be 0.060 -2.377 0.920
Be -0.764 0.861 2.275
Be -2.432 -0.329 -0.692
Ca 0.000 0.000 0.000
Pb -3.135 -1.846 2.503
```

Calculated values
The density of states at the Fermi level is 5.09 states/eV/f.u.

---

Model x:
Here is crystalline CaBe3Pb at its relaxed geometry from Alexandria via LeMat-Bulk. Energies are from PBE-GGA.

```
5
Lattice="-4.579 1.266 -0.767 -1.149 -1.467 4.437 0.933 4.405 1.698" Properties=species:S:1:pos:R:3 pbc="T T T"
Be -0.574 -0.734 2.219
Be 0.467 2.203 0.849
Be -2.290 0.633 -0.384
Ca -2.397 2.102 2.684
Pb 0.000 0.000 0.000
```

Calculated values
The density of states at the Fermi level is 4.60 states/eV/f.u.

---

Which structure loses on stability? model w does.

---

Model w:
Here is crystalline Ca2BePd2 at its relaxed geometry from Alexandria via LeMat-Bulk. Energies are from PBE-GGA.

```
10
Lattice="-3.100 3.932 -4.247 -2.273 -5.258 -3.209 -3.765 -0.032 2.719" Properties=species:S:1:pos:R:3 pbc="T T T"
Pd -2.357 1.767 -3.243
Pd -3.016 -3.093 -4.214
Pd -4.112 -0.077 -5.696
Pd -1.261 -1.250 -1.760
Ca -3.949 -2.875 -1.536
Ca -5.849 -1.718 -4.153
Ca -5.189 1.516 -3.202
Ca -3.289 0.359 -0.585
Be -2.687 -0.663 -3.728
Be 0.000 0.000 0.000
```

Calculated values
The density of states at the Fermi level is 3.56 states/eV/f.u.

---

Model x:
Here is crystalline Ca2BePd2 at its relaxed geometry from Alexandria via LeMat-Bulk. Energies are from PBE-GGA.

```
10
Lattice="8.240 0.000 0.000 0.000 8.240 0.000 0.000 0.000 3.217" Properties=species:S:1:pos:R:3 pbc="T T T"
Be 4.120 4.120 0.000
Be 0.000 0.000 0.000
Ca 5.438 1.318 0.000
Ca 6.922 5.438 0.000
Ca 2.802 6.922 0.000
Ca 1.318 2.802 0.000
Pd 5.252 7.108 1.609
Pd 2.988 1.132 1.609
Pd 1.132 5.252 1.609
Pd 7.108 2.988 1.609
```

Calculated values
The density of states at the Fermi level is 2.47 states/eV/f.u.

---

Model y:
Here is crystalline Ca2BePd2 at its relaxed geometry from Alexandria via LeMat-Bulk. Energies are from PBE-GGA.

```
5
Lattice="3.785 0.000 0.000 0.000 3.785 0.000 1.892 1.892 8.009" Properties=species:S:1:pos:R:3 pbc="T T T"
Be 0.000 0.000 0.000
Ca 3.785 3.785 6.268
Ca 1.892 1.892 1.741
Pd 1.892 3.785 4.004
Pd 3.785 1.892 4.004
```

Calculated values
The density of states at the Fermi level is 2.91 states/eV/f.u.

---

Which structure loses on stability? model x does.